Entry 1:
A plane-wave DFT calculation with GGA-PBE was carried out for crystalline SrYBr2Cl at its relaxed geometry.

Its energy relative to the elements, uncorrected is -708 meV per atom.

The space group is P4/mmm (No. 123) and the conventional cell measures 5.6069, 5.6069 and 7.8781 Å, with angles of 90.00, 90.00 and 90.00 degrees. The distinct sites, in fractional coordinates, are Sr at (0.0000, 0.0000, 0.0000), Y at (0.0000, 0.0000, 0.5000), Br at (0.0000, 0.5000, 0.0000) and Cl at (0.5000, 0.5000, 0.5000).

Entry 2:
A plane-wave DFT calculation with GGA-PBE was carried out for crystalline SrZrBr2Cl at its relaxed geometry.

Its energy relative to the elements, uncorrected is -476 meV per atom.

The space group is P4/mmm (No. 123) and the conventional cell measures 6.2656, 6.2656 and 4.7328 Å, with angles of 90.00, 90.00 and 90.00 degrees. The distinct sites, in fractional coordinates, are Sr at (0.0000, 0.0000, 0.0000), Zr at (0.5000, 0.5000, 0.0000), Br at (0.0000, 0.5000, 0.5000) and Cl at (0.5000, 0.5000, 0.5000).

Entry 3:
A plane-wave DFT calculation with GGA-PBE was carried out for crystalline TaBr2Cl at its relaxed geometry.

Its energy relative to the elements, uncorrected is -265 meV per atom. The excess energy over the best structure of this formula in the dataset is 0.498 eV per atom.

The space group is C2/m (No. 12) and the conventional cell measures 5.9015, 3.4030 and 8.9393 Å, with angles of 90.00, 102.62 and 90.00 degrees. The distinct sites, in fractional coordinates, are Ta at (0.0000, 0.0000, 0.0000), Br at (0.2352, 0.5000, 0.2063) and Cl at (0.0000, 0.5000, 0.5000).

Entry 4:
A plane-wave DFT calculation with GGA-PBE was carried out for crystalline TaBrCl at its relaxed geometry.

Its energy relative to the elements, uncorrected is -373 meV per atom. The excess energy over the best structure of this formula in the dataset is 0.351 eV per atom.

The space group is Fmm2 (No. 42) and the conventional cell measures 3.0895, 6.2072 and 16.1556 Å, with angles of 90.00, 90.00 and 90.00 degrees. The distinct sites, in fractional coordinates, are Ta at (0.0000, 0.0000, 0.0000), Br at (0.0000, 0.0000, 0.3698) and Cl at (0.0000, 0.0000, 0.6207).